Entry 1:
A plane-wave DFT calculation with PBEsol was carried out for Tl5Se4 after structural relaxation.

Lattice parameters (Å, degrees): 7.924 8.469 8.469 120.00 90.00 90.00
Fractional coordinates of all 18 atoms:
Tl: 0.500 0.667 0.333
Tl: 0.250 0.000 0.255
Tl: 0.750 0.745 0.000
Tl: 0.000 0.667 0.333
Tl: 0.750 0.255 0.255
Tl: 0.750 0.000 0.745
Tl: 0.500 0.333 0.667
Tl: 0.250 0.745 0.745
Tl: 0.000 0.333 0.667
Tl: 0.250 0.255 0.000
Se: 0.750 0.000 0.407
Se: 0.750 0.407 0.000
Se: 0.250 0.407 0.407
Se: 0.750 0.593 0.593
Se: 0.000 0.000 0.000
Se: 0.500 0.000 0.000
Se: 0.250 0.000 0.593
Se: 0.250 0.593 0.000

Results
Total magnetization ... 0.000 μB per cell
Uncorrected formation energy ... -21.2 kJ/mol of atoms
V ... 492 Å³ per cell

***

Entry 2:
A plane-wave DFT calculation with PBEsol was carried out for Tl3Se after structural relaxation.

Lattice parameters (Å, degrees): 3.935 3.935 6.964 90.00 90.00 90.00
Fractional coordinates of all 4 atoms:
Tl: 0.000 0.000 0.500
Tl: 0.500 0.500 0.772
Tl: 0.500 0.500 0.228
Se: 0.000 0.000 0.000

Results
Total magnetization ... 0.000 μB per cell
Uncorrected formation energy ... -17.3 kJ/mol of atoms
V ... 108 Å³ per cell

***

Entry 3:
A plane-wave DFT calculation with PBEsol was carried out for Tl2WSe after structural relaxation.

Lattice parameters (Å, degrees): 3.348 4.902 5.425 90.00 90.00 92.61
Fractional coordinates of all 4 atoms:
Se: 0.500 0.000 0.500
Tl: 0.771 0.747 0.000
Tl: 0.229 0.253 0.000
W: 0.500 0.500 0.500

Results
Total magnetization ... 0.000 μB per cell
Uncorrected formation energy ... 71.1 kJ/mol of atoms
Distance to the lowest polymorph of the same formula ... 0 meV per atom
V ... 89 Å³ per cell

***

Entry 4:
A plane-wave DFT calculation with PBEsol was carried out for Tl2WSe after structural relaxation.

Lattice parameters (Å, degrees): 3.152 5.024 5.238 90.00 90.00 90.00
Fractional coordinates of all 4 atoms:
W: 0.500 0.000 0.500
Tl: 0.000 0.000 0.000
Tl: 0.500 0.500 0.000
Se: 0.000 0.500 0.500

Results
Total magnetization ... 0.003 μB per cell
Uncorrected formation energy ... 85.0 kJ/mol of atoms
Distance to the lowest polymorph of the same formula ... 144 meV per atom
V ... 83 Å³ per cell

***

Entry 5:
A plane-wave DFT calculation with PBEsol was carried out for TlW2Se after structural relaxation.

Lattice parameters (Å, degrees): 3.980 3.980 4.562 90.00 90.00 90.00
Fractional coordinates of all 4 atoms:
W: 0.500 0.000 0.000
W: 0.000 0.500 0.000
Se: 0.500 0.500 0.500
Tl: 0.000 0.000 0.500

Results
Total magnetization ... 0.000 μB per cell
Uncorrected formation energy ... 122.2 kJ/mol of atoms
Distance to the lowest polymorph of the same formula ... 636 meV per atom
V ... 72 Å³ per cell

***

Entry 6:
A plane-wave DFT calculation with PBEsol was carried out for TlW2Se after structural relaxation.

Lattice parameters (Å, degrees): 3.029 4.568 5.521 90.00 105.49 90.00
Fractional coordinates of all 4 atoms:
W: 0.974 0.000 0.071
W: 0.572 0.500 0.248
Se: 0.654 0.000 0.446
Tl: 0.300 0.500 0.734

Results
Total magnetization ... 0.000 μB per cell
Uncorrected formation energy ... 60.8 kJ/mol of atoms
Distance to the lowest polymorph of the same formula ... 0 meV per atom
V ... 74 Å³ per cell

***

Entry 7:
A plane-wave DFT calculation with PBEsol was carried out for TlZn2Se after structural relaxation.

Lattice parameters (Å, degrees): 3.588 5.340 5.340 67.68 70.37 70.37
Fractional coordinates of all 4 atoms:
Zn: 0.225 0.775 0.775
Zn: 0.775 0.225 0.225
Tl: 0.000 0.500 0.500
Se: 0.500 0.000 0.000

Results
Total magnetization ... 0.000 μB per cell
Uncorrected formation energy ... 4.0 kJ/mol of atoms
Distance to the lowest polymorph of the same formula ... 0 meV per atom
V ... 87 Å³ per cell

***

Entry 8:
A plane-wave DFT calculation with PBEsol was carried out for TlZn2Se after structural relaxation.

Lattice parameters (Å, degrees): 3.784 3.958 5.584 90.00 90.00 90.00
Fractional coordinates of all 4 atoms:
Zn: 0.000 0.000 0.000
Zn: 0.500 0.000 0.500
Se: 0.500 0.500 0.000
Tl: 0.000 0.500 0.500

Results
Total magnetization ... 0.000 μB per cell
Uncorrected formation energy ... 7.5 kJ/mol of atoms
Distance to the lowest polymorph of the same formula ... 37 meV per atom
V ... 84 Å³ per cell

***

Entry 9:
A plane-wave DFT calculation with PBEsol was carried out for TlZn2Se after structural relaxation.

Lattice parameters (Å, degrees): 4.887 4.887 4.887 60.00 60.00 60.00
Fractional coordinates of all 4 atoms:
Se: 0.000 0.000 0.000
Zn: 0.250 0.250 0.250
Zn: 0.750 0.750 0.750
Tl: 0.500 0.500 0.500

Results
Total magnetization ... 0.000 μB per cell
Uncorrected formation energy ... 16.9 kJ/mol of atoms
Distance to the lowest polymorph of the same formula ... 134 meV per atom
V ... 83 Å³ per cell

***

Entry 10:
A plane-wave DFT calculation with PBEsol was carried out for TlZnSe2 after structural relaxation.

Lattice parameters (Å, degrees): 2.917 5.518 6.241 63.76 85.64 80.09
Fractional coordinates of all 4 atoms:
Se: 0.000 0.000 0.500
Se: 0.000 0.500 0.500
Zn: 0.500 0.000 0.000
Tl: 0.500 0.500 0.000

Results
Total magnetization ... 0.000 μB per cell
Uncorrected formation energy ... 15.8 kJ/mol of atoms
V ... 89 Å³ per cell

***

Entry 11:
A plane-wave DFT calculation with PBEsol was carried out for ZrTl2Se after structural relaxation.

Lattice parameters (Å, degrees): 3.575 4.485 5.999 90.00 90.00 90.46
Fractional coordinates of all 4 atoms:
Tl: 0.751 0.752 0.000
Tl: 0.249 0.248 0.000
Se: 0.500 0.500 0.500
Zr: 0.000 0.000 0.500

Results
Total magnetization ... 0.000 μB per cell
Uncorrected formation energy ... -13.0 kJ/mol of atoms
Distance to the lowest polymorph of the same formula ... 32 meV per atom
V ... 96 Å³ per cell

***

Entry 12:
A plane-wave DFT calculation with PBEsol was carried out for ZrTl2Se after structural relaxation.

Lattice parameters (Å, degrees): 3.403 3.403 9.071 90.00 90.00 115.30
Fractional coordinates of all 4 atoms:
Tl: 0.000 0.000 0.761
Tl: 0.000 0.000 0.239
Se: 0.500 0.500 0.000
Zr: 0.500 0.500 0.500

Results
Total magnetization ... 0.001 μB per cell
Uncorrected formation energy ... 11.7 kJ/mol of atoms
Distance to the lowest polymorph of the same formula ... 289 meV per atom
V ... 95 Å³ per cell

***

Question: Which value of V does entry 11 give?
Answer: 96 Å³ per cell

***

Please write out number 12 again, unchanged.
A plane-wave DFT calculation with PBEsol was carried out for ZrTl2Se after structural relaxation.

Lattice parameters (Å, degrees): 3.403 3.403 9.071 90.00 90.00 115.30
Fractional coordinates of all 4 atoms:
Tl: 0.000 0.000 0.761
Tl: 0.000 0.000 0.239
Se: 0.500 0.500 0.000
Zr: 0.500 0.500 0.500

Results
Total magnetization ... 0.001 μB per cell
Uncorrected formation energy ... 11.7 kJ/mol of atoms
Distance to the lowest polymorph of the same formula ... 289 meV per atom
V ... 95 Å³ per cell